1.
TmNbNi4 | Alexandria | PBE-GGA | optimized geometry; energy of formation from the pure elements = -142.2 kJ/mol of formula units; theoretical density = 9.799 g/cm3; M_tot = 0.0 Bohr magnetons per cell
1.0
-3.6454 1.9465 2.6680
-4.6296 -1.5136 -0.6869
-2.2406 -2.7031 3.4452
Ni Nb Tm
4 1 1
Direct
0.6246 0.6246 0.1261
0.6246 0.1261 0.6246
0.6246 0.6246 0.6246
0.1261 0.6246 0.6246
0.2500 0.2500 0.2500
0.0000 0.0000 0.0000

2.
HoTmFe4 | Alexandria | PBE-GGA | optimized geometry; energy of formation from the pure elements = -70.3 kJ/mol of formula units; theoretical density = 9.881 g/cm3; M_tot = 6.6 Bohr magnetons per cell
1.0
5.0972 0.0000 0.0000
2.5486 4.4143 0.0000
2.5486 1.4714 4.1618
Tm Ho Fe
1 1 4
Direct
0.0000 0.0000 0.0000
0.2500 0.2500 0.2500
0.6251 0.6251 0.1247
0.6251 0.1247 0.6251
0.6251 0.6251 0.6251
0.1247 0.6251 0.6251

3.
CsIn2Au2 | Alexandria | PBE-GGA | optimized geometry; energy of formation from the pure elements = -109.1 kJ/mol of formula units; theoretical density = 8.558 g/cm3; energy above the most stable polymorph in this dataset = 32 meV per atom; M_tot = 0.0 Bohr magnetons per cell
1.0
4.9365 0.0000 0.0000
0.0000 4.9365 0.0000
2.4682 2.4682 6.0236
Cs Au In
1 2 2
Direct
0.0000 0.0000 0.0000
0.3792 0.3792 0.2416
0.6208 0.6208 0.7584
0.7500 0.2500 0.5000
0.2500 0.7500 0.5000

4.
Ac8Co3HBr4 | Alexandria | PBE-GGA | optimized geometry; theoretical density = 7.574 g/cm3; electronic total energy = -4.772 eV/atom; M_tot = 0.0 Bohr magnetons per cell
1.0
-5.3787 -1.3742 6.3322
-1.8500 -8.7411 -3.4684
8.0833 1.6932 1.6340
Ac Co H Br
8 3 1 4
Direct
0.2322 0.6907 0.9580
0.2329 0.6919 0.4659
0.2709 0.3126 0.5418
0.7258 0.6907 0.9580
0.2742 0.3093 0.0420
0.7291 0.6874 0.4582
0.7671 0.3081 0.5341
0.7678 0.3093 0.0420
0.5000 0.5000 0.0000
0.5000 0.5000 0.5000
0.0000 0.5000 0.5000
0.0000 0.5000 0.0000
0.5000 0.0000 0.0000
0.5000 0.0000 0.5000
0.0000 0.0000 0.0000
0.0000 0.0000 0.5000